A:
Below is an optimized crystal structure of YHf2Nb, with properties calculated at the PBE level.

a b c (Å): 7.9303 7.9303 6.3879
angles (deg): 51.63 51.63 90.00
Element x y z (fractional)
Hf  0.6539  0.1250  0.2500
Y  0.5000  0.5000  0.0000
Hf  0.8750  0.9039  0.7500
Nb  0.0000  0.0000  0.0000
Y  0.2500  0.7500  0.5000
Nb  0.7500  0.2500  0.5000
Hf  0.0961  0.6250  0.2500
Hf  0.3750  0.3461  0.7500


B:
Below is an optimized crystal structure of YHf2Nb, with properties calculated at the PBE level.

a b c (Å): 5.0353 5.0353 5.0353
angles (deg): 60.00 60.00 60.00
Element x y z (fractional)
Hf  0.2500  0.2500  0.2500
Hf  0.7500  0.7500  0.7500
Y  0.0000  0.0000  0.0000
Nb  0.5000  0.5000  0.5000


C:
Below is an optimized crystal structure of YHf2Nb, with properties calculated at the PBE level.

a b c (Å): 3.5354 3.5354 7.5352
angles (deg): 90.00 90.00 90.00
Element x y z (fractional)
Hf  0.0000  0.0000  0.2013
Hf  0.0000  0.0000  0.7987
Y  0.5000  0.5000  0.5000
Nb  0.5000  0.5000  0.0000


On energetic grounds, C is preferred over the next structure by 15.3 kJ/mol of atoms.


A:
Below is an optimized crystal structure of YHf3Nb, with properties calculated at the PBE level.

a b c (Å): 5.0270 5.0270 5.0270
angles (deg): 90.00 90.00 90.00
Element x y z (fractional)
Y  0.0000  0.0000  0.0000
Hf  0.0000  0.0000  0.5000
Nb  0.5000  0.5000  0.5000
Hf  0.0000  0.5000  0.0000
Hf  0.5000  0.0000  0.0000


B:
Below is an optimized crystal structure of YHf3Nb, with properties calculated at the PBE level.

a b c (Å): 5.1331 5.1331 5.1331
angles (deg): 90.00 90.00 90.00
Element x y z (fractional)
Hf  0.0000  0.5000  0.0000
Hf  0.0000  0.0000  0.5000
Y  0.5000  0.5000  0.5000
Hf  0.5000  0.0000  0.0000
Nb  0.0000  0.0000  0.0000


On energetic grounds, B is preferred over the next structure by 105.8 kJ/mol of atoms.


A:
Below is an optimized crystal structure of Hf2Nb2Zn, with properties calculated at the PBE level.

a b c (Å): 7.0939 7.0939 3.9911
angles (deg): 90.00 90.00 90.00
Element x y z (fractional)
Nb  0.6336  0.1336  0.0000
Hf  0.3316  0.1684  0.5000
Hf  0.1684  0.6684  0.5000
Zn  0.0000  0.0000  0.0000
Hf  0.8316  0.3316  0.5000
Nb  0.8664  0.6336  0.0000
Nb  0.3664  0.8664  0.0000
Zn  0.5000  0.5000  0.0000
Nb  0.1336  0.3664  0.0000
Hf  0.6684  0.8316  0.5000


B:
Below is an optimized crystal structure of Hf2Nb2Zn, with properties calculated at the PBE level.

a b c (Å): 3.3767 3.3769 9.9178
angles (deg): 59.26 80.17 90.00
Element x y z (fractional)
Zn  0.0000  0.5000  0.0000
Nb  0.7950  0.8856  0.4095
Hf  0.6001  0.2995  0.8006
Hf  0.3999  0.7005  0.1994
Nb  0.2050  0.1144  0.5905


On energetic grounds, B is preferred over the next structure by 24.6 kJ/mol of atoms.


A:
Below is an optimized crystal structure of HfNb3Zn, with properties calculated at the PBE level.

a b c (Å): 4.9134 4.9134 4.9134
angles (deg): 90.00 90.00 90.00
Element x y z (fractional)
Zn  0.5000  0.5000  0.5000
Nb  0.5000  0.0000  0.0000
Hf  0.0000  0.0000  0.0000
Nb  0.0000  0.5000  0.0000
Nb  0.0000  0.0000  0.5000


B:
Below is an optimized crystal structure of HfNb3Zn, with properties calculated at the PBE level.

a b c (Å): 4.7472 4.7472 4.7472
angles (deg): 90.00 90.00 90.00
Element x y z (fractional)
Zn  0.0000  0.0000  0.0000
Nb  0.0000  0.5000  0.0000
Nb  0.0000  0.0000  0.5000
Hf  0.5000  0.5000  0.5000
Nb  0.5000  0.0000  0.0000


On energetic grounds, B is preferred over the next structure by 58.4 kJ/mol of atoms.


A:
Below is an optimized crystal structure of Hf2NbZn2, with properties calculated at the PBE level.

a b c (Å): 7.4727 7.4727 3.2973
angles (deg): 90.00 90.00 90.00
Element x y z (fractional)
Nb  0.5000  0.5000  0.0000
Zn  0.6180  0.1180  0.0000
Zn  0.1180  0.3820  0.0000
Hf  0.3181  0.1819  0.5000
Hf  0.1819  0.6819  0.5000
Zn  0.8820  0.6180  0.0000
Nb  0.0000  0.0000  0.0000
Hf  0.6819  0.8181  0.5000
Zn  0.3820  0.8820  0.0000
Hf  0.8181  0.3181  0.5000


B:
Below is an optimized crystal structure of Hf2NbZn2, with properties calculated at the PBE level.

a b c (Å): 4.5559 6.0770 7.1551
angles (deg): 101.67 108.56 90.00
Element x y z (fractional)
Hf  0.3907  0.3403  0.7814
Hf  0.6093  0.1597  0.2186
Nb  0.0000  0.2500  0.0000
Hf  0.3907  0.8403  0.7814
Zn  0.8028  0.0153  0.6057
Nb  0.0000  0.7500  0.0000
Hf  0.6093  0.6597  0.2186
Zn  0.1972  0.4847  0.3943
Zn  0.8028  0.5153  0.6057
Zn  0.1972  0.9847  0.3943


On energetic grounds, B is preferred over the next structure by 4.6 kJ/mol of atoms.


A:
Below is an optimized crystal structure of HfZr6Nb, with properties calculated at the PBE level.

a b c (Å): 4.7305 6.2132 6.2132
angles (deg): 99.76 90.00 90.00
Element x y z (fractional)
Zr  0.5000  0.6630  0.8920
Nb  0.5000  0.1704  0.8296
Zr  0.0000  0.8990  0.6699
Zr  0.0000  0.3301  0.1010
Zr  0.0000  0.8277  0.1723
Hf  0.5000  0.6157  0.3843
Zr  0.5000  0.1080  0.3370
Zr  0.0000  0.3860  0.6140


B:
Below is an optimized crystal structure of HfZr6Nb, with properties calculated at the PBE level.

a b c (Å): 7.6393 8.4455 5.6946
angles (deg): 42.14 47.89 56.50
Element x y z (fractional)
Zr  0.7583  0.9668  0.8062
Hf  0.5000  0.5000  0.5000
Zr  0.5313  0.2417  0.2608
Zr  0.0337  0.4681  0.2565
Nb  0.0000  0.0000  0.0000
Zr  0.9663  0.5319  0.7435
Zr  0.2417  0.0332  0.1938
Zr  0.4687  0.7583  0.7392


On energetic grounds, A is preferred over the next structure by 8.4 kJ/mol of atoms.